# Li2Ac2LaSn2

A relaxed Li2Ac2LaSn2 crystal (PBE, Alexandria).

Output
- Formation energy: -463 meV/atom
- Total magnetic moment: 0.004 μB per formula unit
- DOS(E_F): 6.4 states/eV/f.u.
- Total DFT energy (no corrections): -4.03 eV per atom

a = 4.8876 Å, b = 4.8876 Å, c = 31.6709 Å
α = 90.00°, β = 90.00°, γ = 120.00°
Space group R-3m (No. 166, hexagonal axes)
Inequivalent atoms, fractional coordinates:
Li1 0.0000 0.0000 0.1133 [6 per cell]
Ac1 0.0000 0.0000 0.3771 [6 per cell]
La1 0.0000 0.0000 0.5000 [3 per cell]
Sn1 0.0000 0.0000 0.2270 [6 per cell]